The following is a DFT calculation (PBE) of a geometry-optimized NaMoPtAu structure.

The spin magnetization comes out at 0.0 Bohr magnetons per cell. The calculation puts the energy above the lowest structure with this stoichiometry at 36 meV/atom. The volume comes out at 65.84 Å³/f.u. For the density, the calculation gives 12.89 g cm⁻³.

The structure belongs to space group F-43m (No. 216); the cell edges are 6.4098, 6.4098 and 6.4098 Å and the angles 90.00°, 90.00° and 90.00°. The distinct sites, in fractional coordinates, are Na at (0.0000, 0.0000, 0.0000), Mo at (0.2500, 0.2500, 0.7500), Pt at (0.0000, 0.0000, 0.5000) and Au at (0.2500, 0.2500, 0.2500).